No. 1
A relaxed MgFe2Os crystal. Source: Alexandria, functional PBE.

```
MgFe2Os
1.0
4.2448 0.0000 0.0000
0.0000 4.2448 0.0000
0.0000 0.0000 3.0492
Mg Fe Os
1 2 1
direct
0.0000 0.0000 0.0000
0.0000 0.5000 0.5000
0.5000 0.0000 0.5000
0.5000 0.5000 0.0000
```

D(E_F): 4.6 states/eV per cell
Total DFT energy (no corrections): -7.19 eV per atom
Calculated formation energy: 0.245 eV/atom


No. 2
A relaxed MgFeOs2 crystal. Source: Alexandria, functional PBE.

```
MgFeOs2
1.0
2.7711 0.0000 0.0000
0.0000 2.7711 0.0000
0.0000 0.0000 7.7064
Mg Fe Os
1 1 2
direct
0.0000 0.0000 0.0000
0.5000 0.5000 0.7341
0.0000 0.0000 0.4947
0.5000 0.5000 0.2687
```

D(E_F): 3.2 states/eV per cell
Total DFT energy (no corrections): -7.93 eV per atom
Calculated formation energy: 0.196 eV/atom


No. 3
A relaxed MgFe2Os2 crystal. Source: Alexandria, functional PBE.

```
MgFe2Os2
1.0
-1.9342 1.9342 5.2841
1.9342 -1.9342 5.2841
1.9342 1.9342 -5.2841
Mg Fe Os
1 2 2
direct
0.0000 0.0000 0.0000
0.2500 0.7500 0.5000
0.7500 0.2500 0.5000
0.3869 0.3869 0.0000
0.6131 0.6131 0.0000
```

D(E_F): 5.2 states/eV per cell
Total DFT energy (no corrections): -7.81 eV per atom
Calculated formation energy: 0.389 eV/atom
Distance to the lowest polymorph of the same formula: 139 meV/atom